Entry 1:
Zr3Sc2Zn3: optimized geometry, PBE-GGA.

For the offset from the most stable computed form, the calculation gives 0.0 kJ/mol of atoms.

a b c (Å): 5.002 6.092 6.092
angles (deg): 61.20 90.00 90.00
Sites, in units of the cell vectors:
Zr 0.000 0.000 0.000
Zr 0.500 0.318 0.829
Zr 0.500 0.829 0.318
Sc 0.000 0.453 0.453
Sc 0.500 0.823 0.823
Zn 0.000 0.516 0.928
Zn 0.000 0.928 0.516
Zn 0.500 0.319 0.319

=====

Entry 2:
ZrScZn2: optimized geometry, PBE-GGA.

a b c (Å): 4.821 6.140 6.140
angles (deg): 123.28 90.00 90.00
Sites, in units of the cell vectors:
Zr 0.250 0.061 0.939
Zr 0.750 0.939 0.061
Sc 0.250 0.107 0.460
Sc 0.750 0.460 0.107
Zn 0.250 0.588 0.425
Zn 0.250 0.595 0.956
Zn 0.750 0.425 0.588
Zn 0.750 0.956 0.595

=====

Entry 3:
ZrSc2Zn: optimized geometry, PBE-GGA.

a b c (Å): 4.905 4.905 4.905
angles (deg): 60.00 60.00 60.00
Sites, in units of the cell vectors:
Zr 0.000 0.000 0.000
Sc 0.250 0.250 0.250
Sc 0.500 0.500 0.500
Zn 0.750 0.750 0.750

=====

Entry 4:
Zr5Sc2Zn: optimized geometry, PBE-GGA.

a b c (Å): 5.047 6.404 6.404
angles (deg): 59.75 90.00 90.00
Sites, in units of the cell vectors:
Zr 0.000 0.000 0.000
Zr 0.000 0.509 0.994
Zr 0.000 0.994 0.509
Zr 0.500 0.165 0.678
Zr 0.500 0.678 0.165
Sc 0.000 0.509 0.509
Sc 0.500 0.168 0.168
Zn 0.500 0.668 0.668

=====

no.,calculated volume (Å³/cell),calculated formation energy (eV per atom),raw total energy (eV/atom)
1,162.7,-0.05,-5.31
2,151.9,-0.13,-4.48
3,83.5,0.03,-5.59
4,178.8,0.00,-7.09